Entry from Alexandria: a relaxed YErTmCu crystal (PBE-GGA).

Values from the calculation:
Spin magnetization: 0.00 μB per atom
Crystal system: tetragonal
Space-group type: P4mm
Formation energy: -0.11 eV per atom

Structure (POSCAR):
```
YErTmCu
1.0
-1.394 -2.585 -1.819
2.518 0.294 -2.346
4.797 -5.708 4.435
Er Cu Y Tm
1 1 1 1
Direct
0.500 0.500 0.767
0.000 0.000 0.569
0.000 0.000 0.073
0.500 0.500 0.376
```

---

Entry from Alexandria: a relaxed Sr2HfSeCl crystal (PBE-GGA).

Values from the calculation:
Spin magnetization: 0.71 μB per atom
Crystal system: tetragonal
Space-group type: P4/mmm

Structure (POSCAR):
```
Sr2HfSeCl
1.0
5.892 0.000 0.000
0.000 5.640 0.000
0.000 0.000 5.892
Cl Sr Hf Se
1 2 1 1
Direct
0.000 0.500 0.000
0.000 0.000 0.500
0.500 0.000 0.000
0.500 0.500 0.500
0.000 0.000 0.000
```

---

no.,DFT total energy (eV per atom)
1,-5.01
2,-3.61